Density functional theory data (PBE) for a geometry-optimized BaPtRhAu2 structure.

Cell and atoms, written as POSCAR:
```
BaPtRhAu2
1.0
-1.4230 4.8080 1.3184
-1.9270 -1.7063 4.1428
4.5452 0.6878 2.3974
Pt Ba Au Rh
1 1 2 1
Cartesian
-0.9635 -0.8531 2.0714
0.5976 1.8947 3.9293
-0.7115 2.4040 0.6592
2.2726 0.3439 1.1987
0.0000 0.0000 0.0000
```

space-group type = No. 123
DFT total energy = -4.41 eV/atom
DFT formation energy = -0.0385 eV per atom
crystal system = tetragonal

Density functional theory data (PBE) for a geometry-optimized Ba6PtRhAu2 structure.

Cell and atoms, written as POSCAR:
```
Ba6PtRhAu2
1.0
8.0592 0.0042 0.0009
4.0332 6.9787 -0.0001
4.0310 2.3274 7.4587
Ba Pt Au Rh
6 1 2 1
Cartesian
6.6052 2.1191 1.9025
9.1679 2.3869 5.6643
9.4741 6.7456 5.6655
10.9829 4.6687 1.8989
6.5925 7.1835 1.9027
5.5454 4.8271 5.6616
12.0913 6.9824 3.8608
8.0627 4.6551 3.4983
4.0322 2.3290 7.2295
4.0321 2.3260 0.1262
```

space-group type = No. 1
DFT total energy = -3.64 eV/atom
DFT formation energy = -0.4957 eV per atom
crystal system = triclinic

Density functional theory data (PBE) for a geometry-optimized Ba6PtAu2S structure.

Cell and atoms, written as POSCAR:
```
Ba6PtAu2S
1.0
8.0940 0.0022 0.0014
4.0489 7.0098 0.0010
4.0484 2.3379 7.5562
Ba S Au Pt
6 1 2 1
Cartesian
6.5777 7.1672 1.9611
5.5653 4.8239 5.6938
6.6938 2.1126 1.9627
9.4916 6.7926 5.6949
11.0136 4.7444 1.9631
9.2317 2.4076 5.6931
4.0477 2.3379 0.1862
8.0959 4.6751 3.4850
4.0483 2.3393 7.3228
12.1431 7.0114 3.9443
```

space-group type = No. 146
DFT total energy = -3.67 eV/atom
formation energy without anion corrections = -19.47 kcal/mol of atoms
crystal system = trigonal

Density functional theory data (PBE) for a geometry-optimized Ba2SbPtAu6 structure.

Cell and atoms, written as POSCAR:
```
Ba2SbPtAu6
1.0
-6.0945 4.0969 -0.0832
-3.3620 -6.6029 -0.6840
-4.4085 -4.1430 4.3238
Au Ba Pt Sb
6 2 1 1
Cartesian
-11.8076 -4.8018 3.0902
-3.9901 -3.9487 -0.5263
-9.3512 -3.9421 1.5541
-2.0575 -1.8474 0.4664
-4.5139 -2.7070 2.0025
-9.8749 -2.7005 4.0829
-7.6960 -0.9947 2.0859
-6.1691 -5.6544 1.4707
0.0000 0.0000 0.0000
-4.7283 -1.2530 -0.3836
```

space-group type = No. 2
DFT total energy = -3.84 eV/atom
formation energy without anion corrections = -10.98 kcal/mol of atoms
crystal system = triclinic

Density functional theory data (PBE) for a geometry-optimized Ba2Sb4PtAu3 structure.

Cell and atoms, written as POSCAR:
```
Ba2Sb4PtAu3
1.0
-2.1202 1.4908 -4.1800
2.5587 -3.3744 -2.5013
-8.2009 -7.3568 1.5359
Ba Sb Au Pt
2 4 3 1
Cartesian
-3.1880 -1.1635 -1.6915
-4.7937 -7.1352 -0.1133
0.2192 -0.9418 -3.3406
0.0000 0.0000 0.0000
-1.8538 -4.4978 -0.6639
-6.1279 -3.8008 -1.1409
0.1715 -2.6810 -1.0432
-4.1005 -3.6784 0.7679
-8.1532 -5.6176 -0.7616
-3.8812 -4.6202 -2.5727
```

space-group type = No. 115
DFT total energy = -4.25 eV/atom
formation energy without anion corrections = -14.46 kcal/mol of atoms
crystal system = tetragonal

Density functional theory data (PBE) for a geometry-optimized Ba2Sb4Pt3Au structure.

Cell and atoms, written as POSCAR:
```
Ba2Sb4Pt3Au
1.0
-4.8230 -0.6975 -0.3102
0.1571 -2.8484 3.9631
-1.6299 8.5187 6.1874
Sb Pt Ba Au
4 3 2 1
Cartesian
-2.3330 -1.7730 1.8265
-3.4377 5.0147 3.7405
-0.5252 1.7310 4.2733
0.0000 0.0000 0.0000
-3.8522 7.1812 5.3141
-0.1106 -0.4355 2.6997
-0.8149 4.2594 3.0937
-2.8277 1.8264 1.4248
-1.1352 4.9194 6.5891
-3.1479 2.4864 4.9201
```

space-group type = No. 115
DFT total energy = -4.95 eV/atom
formation energy without anion corrections = -17.79 kcal/mol of atoms
crystal system = tetragonal